InNi2F8 (GGA+U, relaxed); DFT total energy = -4.085 eV per atom; DOS at the Fermi energy = 6.0 states/eV/f.u.; space-group type = No. 12; total moment = 0.45 μB/atom
1.0
4.192 0.003 0.019
0.011 6.023 -3.446
-0.003 -0.620 5.902
Ni F In
2 8 1
Direct
0.249 0.382 0.765
0.751 0.618 0.235
0.751 0.410 0.819
0.750 0.325 0.206
0.735 0.814 0.629
0.250 0.119 0.794
0.265 0.186 0.371
0.750 0.881 0.206
0.249 0.590 0.181
0.250 0.675 0.794
0.000 0.000 0.000